[1]
VASP calculation (PBE) on a relaxed KNa2OsBr8 crystal.

a = 6.5327 Å, b = 6.6165 Å, c = 9.4027 Å
α = 89.82°, β = 89.98°, γ = 80.91°
Closest atoms and distances in Å follow each position.
Space group P-1 (No. 2)
Unique sites:
1 K 0.0000 0.0000 0.0000  6 Br 3.36-3.41
2 Na 0.4993 0.4982 0.2540  4 Br 2.91-3.02
3 Os 0.0000 0.0000 0.5000  6 Br 2.49-2.51
4 Br 0.1189 0.2194 0.3111  1 Os 2.49
5 Br 0.1211 0.2177 0.6880  1 Os 2.49
6 Br 0.3488 0.7759 0.4991  1 Os 2.51
7 Br 0.4903 0.7536 0.0003  2 Na 2.91

Values from the calculation:
Raw formation energy, eV per atom: -0.7946
Crystal system: triclinic



[2]
VASP calculation (PBE) on a relaxed ScCr2HRh crystal.

a = 3.6207 Å, b = 3.6207 Å, c = 4.5809 Å
α = 90.00°, β = 90.00°, γ = 90.00°
Closest atoms and distances in Å follow each position.
Space group P4/mmm (No. 123)
Unique sites:
1 Sc 0.0000 0.0000 0.0000  2 H 2.29, 4 Rh 2.56
2 Cr 0.0000 0.5000 0.5000  2 H 1.81
3 H 0.0000 0.0000 0.5000  4 Cr 1.81
4 Rh 0.5000 0.5000 0.0000  4 Sc 2.56

Values from the calculation:
Total DFT energy (no corrections), eV/atom: -7.304
Crystal system: tetragonal



[3]
VASP calculation (PBE) on a relaxed Tb6CuAu5 crystal.

a = 5.1016 Å, b = 7.1545 Å, c = 8.0916 Å
α = 90.00°, β = 108.32°, γ = 90.00°
Closest atoms and distances in Å follow each position.
Space group P2/m (No. 10)
Unique sites:
1 Tb 0.0000 0.2483 0.0000  6 Au 3.05-3.16, 2 Cu 3.11
2 Tb 0.3346 0.2478 0.6690  1 Cu 3.10, 7 Au 3.11-3.20
3 Cu 0.5000 0.0000 0.0000  8 Tb 3.10-3.11
4 Au 0.1610 0.0000 0.3220  8 Tb 3.05-3.20
5 Au 0.1687 0.5000 0.3380  8 Tb 3.12-3.16
6 Au 0.5000 0.5000 0.0000  8 Tb 3.12

Values from the calculation:
E_form, meV per atom: -749
Crystal system: monoclinic



[4]
VASP calculation (PBE) on a relaxed Nd6GeTe4 crystal.

a = 8.5091 Å, b = 8.5091 Å, c = 9.0858 Å
α = 90.00°, β = 90.00°, γ = 90.00°
Closest atoms and distances in Å follow each position.
Space group P4/mnc (No. 128)
Unique sites:
1 Nd 0.0000 0.0000 0.1906  1 Ge 2.81
2 Nd 0.1384 0.3213 0.5000  1 Ge 2.98, 4 Te 3.28-3.33
3 Ge 0.0000 0.0000 0.5000  6 Nd 2.81-2.98
4 Te 0.1462 0.6462 0.2500  8 Nd 3.28-3.58, 1 Te 3.52

Values from the calculation:
Raw formation energy, eV per atom: -1.1054
Crystal system: tetragonal



[5]
VASP calculation (PBE) on a relaxed Nd4SmHoS8 crystal.

a = 8.2826 Å, b = 8.2826 Å, c = 20.2498 Å
α = 90.00°, β = 90.00°, γ = 120.00°
Closest atoms and distances in Å follow each position.
Space group R3m (No. 160, hexagonal axes)
Unique sites:
1 Nd 0.0000 0.0000 0.0000  4 S 2.70-2.71
2 Nd 0.0040 0.5020 0.1251  6 S 2.86-2.88
3 Sm 0.0000 0.0000 0.6231  6 S 2.82-2.84
4 Ho 0.0000 0.0000 0.2494  4 S 2.60-2.61
5 S 0.0000 0.0000 0.3776  1 Ho 2.60, 3 Nd 2.87
6 S 0.0000 0.0000 0.8667  4 Nd 2.70-2.86
7 S 0.0246 0.5123 0.3763  3 Nd 2.71-2.86, 1 Sm 2.82
8 S 0.1722 0.3443 0.2080  1 Ho 2.61, 1 Sm 2.84, 2 Nd 2.88

Values from the calculation:
Raw formation energy, eV per atom: -1.9091
Crystal system: trigonal



[6]
VASP calculation (PBE) on a relaxed Na3Hf3NpTe8 crystal.

a = 14.3367 Å, b = 8.2740 Å, c = 9.0818 Å
α = 90.00°, β = 121.81°, γ = 90.00°
Closest atoms and distances in Å follow each position.
Space group C2/m (No. 12)
Unique sites:
1 Na 0.0000 0.0000 0.0000  6 Te 3.21-3.23
2 Na 0.2500 0.2500 0.0000  6 Te 3.21-3.23
3 Hf 0.0000 0.5000 0.5000  6 Te 2.92-2.94
4 Hf 0.2500 0.2500 0.5000  6 Te 2.92-2.94
5 Np 0.0000 0.0000 0.5000  6 Te 3.09
6 Te 0.0118 0.2648 0.2711  2 Hf 2.92, 1 Np 3.09, 2 Na 3.23
7 Te 0.2407 0.5000 0.7217  3 Hf 2.94, 3 Na 3.21
8 Te 0.2469 0.5000 0.2710  2 Hf 2.92, 1 Np 3.09, 2 Na 3.23

Values from the calculation:
Raw formation energy, eV per atom: -0.8105
Crystal system: monoclinic



[7]
VASP calculation (PBE) on a relaxed CaAc4Pd2 crystal.

a = 7.9213 Å, b = 7.4641 Å, c = 9.3976 Å
α = 90.00°, β = 112.85°, γ = 90.00°
Closest atoms and distances in Å follow each position.
Space group P2_1/m (No. 11)
Unique sites:
1 Ca 0.0149 0.2500 0.2817  1 Pd 2.90
2 Ac 0.2480 0.2500 0.7014  1 Pd 2.98
3 Ac 0.2916 0.0003 0.0824  4 Pd 3.05-3.16
4 Ac 0.3222 0.7500 0.4979  2 Pd 3.20-3.26
5 Pd 0.0174 0.7500 0.1452  6 Ac 2.98-3.26
6 Pd 0.3821 0.7500 0.8543  1 Ca 2.90, 5 Ac 3.05-3.20

Values from the calculation:
E_form, meV per atom: -389
Energy above the lowest structure with this stoichiometry, meV per atom: 0
Crystal system: monoclinic



[8]
VASP calculation (PBE) on a relaxed PaIn2Pd6 crystal.

a = 3.7452 Å, b = 13.1108 Å, c = 6.8890 Å
α = 90.00°, β = 90.00°, γ = 90.00°
Closest atoms and distances in Å follow each position.
Space group Amm2 (No. 38)
Unique sites:
1 Pa 0.0000 0.0000 0.0000  7 Pd 2.75-2.84
2 In 0.5000 0.1521 0.6397  6 Pd 2.66-2.84
3 Pd 0.0000 0.0000 0.6013  2 Pd 2.74, 1 Pa 2.75, 4 In 2.75
4 Pd 0.0000 0.1907 0.3394  4 In 2.84-3.11, 7 Pd 2.87-3.13
5 Pd 0.5000 0.0000 0.3106  4 Pd 2.74-2.77, 2 Pa 2.84, 2 In 3.02
6 Pd 0.5000 0.1528 0.0323  2 In 2.66-2.70, 2 Pa 2.75, 3 Pd 2.77-2.87

Values from the calculation:
E_form, meV per atom: -426
Crystal system: orthorhombic



[9]
VASP calculation (PBE) on a relaxed KPOF2 crystal.

a = 4.4232 Å, b = 4.4232 Å, c = 3.5859 Å
α = 90.00°, β = 90.00°, γ = 90.00°
Closest atoms and distances in Å follow each position.
Space group P4/mmm (No. 123)
Unique sites:
1 K 0.0000 0.0000 0.0000  8 F 2.85, 4 O 3.13
2 P 0.5000 0.5000 0.5000  2 O 1.79
3 O 0.5000 0.5000 0.0000  2 P 1.79
4 F 0.0000 0.5000 0.5000  2 P 2.21

Values from the calculation:
Raw formation energy, eV per atom: -1.7718
Energy above the lowest structure with this stoichiometry, meV per atom: 0
Crystal system: tetragonal



[10]
VASP calculation (PBE) on a relaxed YZrOs crystal.

a = 7.1481 Å, b = 7.1481 Å, c = 4.5022 Å
α = 90.00°, β = 90.00°, γ = 120.00°
Closest atoms and distances in Å follow each position.
Space group P-62m (No. 189)
Unique sites:
1 Y 0.0000 0.5810 0.0000  5 Os 3.00-3.11, 2 Zr 3.25
2 Zr 0.0000 0.2522 0.5000  4 Os 2.72-2.88
3 Os 0.0000 0.0000 0.0000  6 Zr 2.88, 3 Y 3.00
4 Os 0.3333 0.6667 0.5000  3 Zr 2.72

Values from the calculation:
E_form, meV per atom: -286
Energy above the lowest structure with this stoichiometry, meV per atom: 4
Crystal system: hexagonal



[11]
VASP calculation (PBE) on a relaxed InCuBRh2 crystal.

a = 4.1427 Å, b = 4.1427 Å, c = 4.0543 Å
α = 90.00°, β = 90.00°, γ = 90.00°
Closest atoms and distances in Å follow each position.
Space group P4/mmm (No. 123)
Unique sites:
1 In 0.0000 0.0000 0.0000  8 Rh 2.90, 4 Cu 2.93
2 Cu 0.5000 0.5000 0.0000  2 B 2.03
3 B 0.5000 0.5000 0.5000  2 Cu 2.03, 4 Rh 2.07
4 Rh 0.0000 0.5000 0.5000  2 B 2.07

Values from the calculation:
E_form, meV per atom: -279
Energy above the lowest structure with this stoichiometry, meV per atom: 0
Crystal system: tetragonal



[12]
VASP calculation (PBE) on a relaxed LaPdS2N crystal.

a = 5.5863 Å, b = 5.5863 Å, c = 4.3039 Å
α = 90.00°, β = 90.00°, γ = 90.00°
Closest atoms and distances in Å follow each position.
Space group P4/mmm (No. 123)
Unique sites:
1 La 0.0000 0.0000 0.0000  2 N 2.15
2 Pd 0.5000 0.5000 0.5000  8 S 3.53
3 S 0.0000 0.5000 0.0000  2 La 2.79
4 N 0.0000 0.0000 0.5000  2 La 2.15

Values from the calculation:
Raw formation energy, eV per atom: 0.6304
Energy above the lowest structure with this stoichiometry, meV per atom: 1099
Crystal system: tetragonal